The following is a PBE calculation of a geometry-optimized CaBi2Pt structure, from Alexandria.

Calculated values
Energy = -16.36 eV/cell
Symmetry = R-3m (166)
Formation energy = -0.14 eV per atom
Magnetization = 0.00 μB per formula unit

Cell lengths 10.0212, 10.0212, 10.0212 Å; angles 22.84, 22.84, 22.84 degrees
With the nearest neighbours (Å) after each atom.
Element x y z (fractional)
Ca1 0.0000 0.0000 0.0000  2 Bi 3.28
Bi1 0.1120 0.1120 0.1120  3 Pt 2.79
Bi2 0.8880 0.8880 0.8880  3 Pt 2.79
Pt1 0.5000 0.5000 0.5000  6 Bi 2.79